Record 1
Tb4AgBi | PBE-GGA | optimized geometry

Properties
DOS at the Fermi energy = 12.88 states/eV/cell
Polymorph energy (0 for the lowest one) = 145.8 meV per atom

a b c (Å): 10.733 10.733 6.438
angles (deg): 90.00 90.00 149.67
Atoms (fractional coordinates):
Tb 0.057 0.943 0.750
Tb 0.207 0.793 0.502
Tb 0.207 0.793 0.998
Tb 0.379 0.621 0.750
Tb 0.621 0.379 0.250
Tb 0.793 0.207 0.002
Tb 0.793 0.207 0.498
Tb 0.943 0.057 0.250
Ag 0.081 0.919 0.250
Ag 0.919 0.081 0.750
Bi 0.352 0.648 0.250
Bi 0.648 0.352 0.750


Record 2
Tb3AgBi | PBE-GGA | optimized geometry

Properties
DOS at the Fermi energy = 10.12 states/eV/cell

a b c (Å): 4.191 6.920 10.316
angles (deg): 90.00 90.00 90.00
Atoms (fractional coordinates):
Tb 0.250 0.004 0.178
Tb 0.250 0.250 0.585
Tb 0.250 0.496 0.178
Tb 0.750 0.504 0.822
Tb 0.750 0.750 0.415
Tb 0.750 0.996 0.822
Ag 0.250 0.250 0.935
Ag 0.750 0.750 0.065
Bi 0.250 0.750 0.645
Bi 0.750 0.250 0.355


Record 3
TbAgBi | PBE-GGA | optimized geometry

Properties
DOS at the Fermi energy = 1.51 states/eV/cell

a b c (Å): 4.683 4.683 4.211
angles (deg): 90.00 90.00 120.00
Atoms (fractional coordinates):
Tb 0.000 0.000 0.000
Ag 0.667 0.333 0.347
Bi 0.333 0.667 0.567


Record 4
TbAg4Bi | PBE-GGA | optimized geometry

Properties
DOS at the Fermi energy = 2.87 states/eV/cell

a b c (Å): 5.708 5.708 5.708
angles (deg): 60.00 60.00 60.00
Atoms (fractional coordinates):
Tb 0.000 0.000 0.000
Ag 0.375 0.375 0.375
Ag 0.375 0.375 0.876
Ag 0.375 0.876 0.375
Ag 0.876 0.375 0.375
Bi 0.750 0.750 0.750


Record 5
Tb2AgBi4 | PBE-GGA | optimized geometry

Properties
DOS at the Fermi energy = 3.28 states/eV/cell

a b c (Å): 4.595 4.595 9.742
angles (deg): 90.00 90.00 90.00
Atoms (fractional coordinates):
Tb 0.000 0.500 0.238
Tb 0.500 0.000 0.762
Ag 0.500 0.500 0.000
Bi 0.000 0.000 0.500
Bi 0.000 0.500 0.828
Bi 0.500 0.000 0.172
Bi 0.500 0.500 0.500


Record 6
TbAg2Bi | PBE-GGA | optimized geometry

Properties
DOS at the Fermi energy = 1.97 states/eV/cell

a b c (Å): 4.429 4.429 4.849
angles (deg): 90.00 90.00 90.00
Atoms (fractional coordinates):
Tb 0.000 0.000 0.000
Ag 0.000 0.500 0.500
Ag 0.500 0.000 0.500
Bi 0.500 0.500 0.000


| no. | calculated formation energy (meV per atom) |
| --- | --- |
| 1 | -197 |
| 2 | -357 |
| 3 | -387 |
| 4 | -176 |
| 5 | -461 |
| 6 | -317 |